[1]
First-principles (PBE) data for BeVP after structural relaxation, as listed in Alexandria via LeMat-Bulk.

The calculation puts the total energy at -6.311 eV per atom. The calculation puts the energy of formation from the pure elements at -225.8 meV/atom.

a b c (Å): 4.3810 4.3810 4.3810
angles (deg): 140.50 140.50 57.10
Fractional positions:
Be 0.0000 0.0000 0.0000
V 0.6835 0.6835 0.0000
P 0.3547 0.3547 0.0000

[2]
First-principles (PBE) data for Be3VP after structural relaxation, as listed in Alexandria via LeMat-Bulk.

The calculation puts the total energy at -4.295 eV per atom. The calculation puts the energy of formation from the pure elements at 846.6 meV/atom.

a b c (Å): 4.0474 4.0474 4.0474
angles (deg): 90.00 90.00 90.00
Fractional positions:
Be 0.0000 0.0000 0.5000
Be 0.0000 0.5000 0.0000
Be 0.5000 0.0000 0.0000
V 0.5000 0.5000 0.5000
P 0.0000 0.0000 0.0000

[3]
First-principles (PBE) data for BeVP2 after structural relaxation, as listed in Alexandria via LeMat-Bulk.

The calculation puts the total energy at -6.105 eV per atom. The calculation puts the energy of formation from the pure elements at -188.4 meV/atom.

a b c (Å): 6.2598 6.2598 6.2598
angles (deg): 29.38 29.38 29.38
Fractional positions:
Be 0.0000 0.0000 0.0000
V 0.5000 0.5000 0.5000
P 0.2551 0.2551 0.2551
P 0.7449 0.7449 0.7449

Q: Look up the energy of formation from the pure elements of the second one.
A: 846.6 meV/atom

Q: Which of these has the highest energy of formation from the pure elements?
A: Be3VP

Q: Which of these has the highest energy of formation from the pure elements?
A: Be3VP